Entry 1:
Material: AlCdCo2
Method: DFT, PBE
State: relaxed

Structure (POSCAR):
```
AlCdCo2
1.0
-8.1633 0.3544 2.4076
-7.1564 -1.2464 4.4491
-6.9803 1.5244 4.6383
Co Al Cd
2 1 1
Cartesian
-22.1244 0.6274 11.4044
-11.3256 0.3212 5.8380
-5.5750 0.1581 2.8737
-16.7250 0.4743 8.6212
```

magnetic moment = 2.1 μB/cell
E = -4.627 eV per atom
energy relative to the elements = 8.67 kJ per mole of atoms
offset from the most stable computed form = 0.177 eV per atom

---

Entry 2:
Material: AlCdCo2
Method: DFT, PBE
State: relaxed

Structure (POSCAR):
```
AlCdCo2
1.0
-0.2812 -3.1429 -2.2792
-1.7856 -1.9244 2.8739
-8.7356 0.2663 -2.6132
Co Al Cd
4 2 2
Cartesian
-2.5542 -1.8182 -1.4864
-3.3637 -1.8492 0.6259
-7.5086 -1.8965 -1.4441
-8.1783 -4.0382 -1.7322
-1.0334 -2.5336 0.2974
-5.7773 -2.0959 0.2791
0.0000 0.0000 0.0000
-5.0251 -2.7051 -2.2975
```

magnetic moment = 4.6 μB/cell
E = -4.273 eV per atom
energy relative to the elements = 42.90 kJ per mole of atoms
offset from the most stable computed form = 0.532 eV per atom

---

Entry 3:
Material: AlCdCo2
Method: DFT, PBE
State: relaxed

Structure (POSCAR):
```
AlCdCo2
1.0
4.2876 0.0000 0.0000
2.1438 3.7132 0.0000
2.1438 1.2377 3.5008
Co Al Cd
2 1 1
Cartesian
0.0000 0.0000 0.0000
2.1438 1.2377 0.8752
4.2876 2.4755 1.7504
6.4314 3.7132 2.6256
```

magnetic moment = 2.6 μB/cell
E = -4.543 eV per atom
energy relative to the elements = 16.78 kJ per mole of atoms
offset from the most stable computed form = 0.261 eV per atom

---

Entry 4:
Material: Al4CdCo
Method: DFT, PBE
State: relaxed

Structure (POSCAR):
```
Al4CdCo
1.0
3.8158 -2.5603 2.4665
-1.0953 -2.9113 4.1862
0.2674 -5.1999 -0.2976
Al Cd Co
4 1 1
Cartesian
3.0381 -5.2816 3.6192
1.2526 -6.6098 2.2283
0.5670 -5.4582 4.4845
1.1181 -3.9934 2.3781
2.2409 -8.0036 4.7663
0.0000 0.0000 0.0000
```

magnetic moment = 1.0 μB/cell
E = -3.552 eV per atom
energy relative to the elements = 26.99 kJ per mole of atoms

---

Entry 5:
Material: AlCdCo2
Method: DFT, PBE
State: relaxed

Structure (POSCAR):
```
AlCdCo2
1.0
0.0000 2.9945 2.9945
2.9945 0.0000 2.9945
2.9945 2.9945 0.0000
Co Al Cd
2 1 1
Cartesian
1.4973 1.4973 1.4973
4.4918 4.4918 4.4918
0.0000 0.0000 0.0000
2.9945 2.9945 2.9945
```

magnetic moment = 0.0 μB/cell
E = -4.699 eV per atom
energy relative to the elements = 1.78 kJ per mole of atoms
offset from the most stable computed form = 0.105 eV per atom

---

Entry 6:
Material: AlCdCo2
Method: DFT, PBE
State: relaxed

Structure (POSCAR):
```
AlCdCo2
1.0
4.2405 0.0199 0.0000
-0.0221 4.2403 0.0000
0.0000 0.0000 2.9872
Co Al Cd
2 1 1
Cartesian
0.0000 0.0000 0.0000
2.1092 2.1301 0.0000
2.1203 0.0100 1.4936
-0.0111 2.1202 1.4936
```

magnetic moment = 0.2 μB/cell
E = -4.697 eV per atom
energy relative to the elements = 1.92 kJ per mole of atoms
offset from the most stable computed form = 0.107 eV per atom

---

Entry 7:
Material: AlCdCo2
Method: DFT, PBE
State: relaxed

Structure (POSCAR):
```
AlCdCo2
1.0
-0.0924 -3.2941 -2.8221
2.5363 -2.8668 -2.0427
-0.3135 -3.9734 3.2361
Co Al Cd
2 1 1
Cartesian
-0.2717 -3.8257 3.0140
1.0233 -5.2147 -0.5923
1.5978 -7.6007 -1.2215
0.5326 -2.5336 -0.4072
```

magnetic moment = 2.0 μB/cell
E = -4.601 eV per atom
energy relative to the elements = 11.21 kJ per mole of atoms
offset from the most stable computed form = 0.203 eV per atom

---

Entry 8:
Material: AlCd2CoI
Method: DFT, PBE
State: relaxed

Structure (POSCAR):
```
AlCd2CoI
1.0
-4.4916 -3.4162 -1.5510
0.2846 -2.7655 5.2669
-3.7414 3.8981 2.2489
I Co Al Cd
1 1 1 2
Cartesian
0.0000 0.0000 0.0000
-3.9742 -1.1418 2.9824
0.1423 -1.3827 2.6335
-1.8707 1.9490 1.1245
-2.2458 -1.7081 -0.7755
```

formation energy (no corrections) = 1.42 eV/atom
magnetic moment = 2.2 μB/cell
E = -1.429 eV per atom

---

Entry 9:
Material: KAlCd2Co
Method: DFT, PBE
State: relaxed

Structure (POSCAR):
```
KAlCd2Co
1.0
5.2934 0.0000 0.0000
0.0000 4.7438 0.0000
0.0000 0.0000 5.2934
K Co Al Cd
1 1 1 2
Cartesian
2.6467 2.3719 2.6467
0.0000 2.3719 0.0000
0.0000 0.0000 0.0000
0.0000 0.0000 2.6467
2.6467 0.0000 0.0000
```

magnetic moment = 1.4 μB/cell
E = -2.295 eV per atom
energy relative to the elements = 44.44 kJ per mole of atoms

---

Entry 10:
Material: KAlCdCo2
Method: DFT, PBE
State: relaxed

Structure (POSCAR):
```
KAlCdCo2
1.0
4.5874 0.0000 0.0000
0.0000 5.7397 0.0000
0.0000 0.0000 4.5874
K Co Al Cd
1 2 1 1
Cartesian
0.0000 2.8699 0.0000
0.0000 0.0000 2.2937
2.2937 0.0000 0.0000
0.0000 0.0000 0.0000
2.2937 2.8699 2.2937
```

magnetic moment = 2.3 μB/cell
E = -3.019 eV per atom
energy relative to the elements = 94.04 kJ per mole of atoms

---

Entry 11:
Material: Mg2AlCdCo
Method: DFT, PBE
State: relaxed

Structure (POSCAR):
```
Mg2AlCdCo
1.0
-3.1951 -0.5028 3.5905
3.3982 -0.2896 2.9834
-0.1016 4.7964 0.5813
Mg Co Al Cd
2 1 1 1
Cartesian
-0.0508 2.3982 0.2906
-1.5976 -0.2514 1.7953
0.0000 0.0000 0.0000
1.6991 -0.1448 1.4917
0.0507 2.0020 3.5776
```

magnetic moment = 0.0 μB/cell
E = -2.812 eV per atom
energy relative to the elements = 17.21 kJ per mole of atoms

---

Entry 12:
Material: AlCdCo2N
Method: DFT, PBE
State: relaxed

Structure (POSCAR):
```
AlCdCo2N
1.0
4.7457 0.0000 0.0000
0.0000 4.8050 0.0000
0.0000 0.0000 4.7457
N Co Al Cd
1 2 1 1
Cartesian
2.3728 2.4025 2.3728
0.0000 0.0000 2.3728
2.3728 0.0000 0.0000
0.0000 2.4025 0.0000
0.0000 0.0000 0.0000
```

formation energy (no corrections) = 2.40 eV/atom
magnetic moment = 3.6 μB/cell
E = -3.041 eV per atom

---

Question: Number 1 is which compound?
Answer: AlCdCo2